No. 1
The following is a PBE-GGA calculation of crystalline Y2NpHgO8 at its relaxed geometry, from the Alexandria database.

a b c (Å): 5.0571 5.0575 7.2173
angles (deg): 86.30 86.38 86.42
Last column: nearest neighbours and their distance in Å.
Space group P-1 (No. 2)
One atom of each set of equivalent atoms:
Y  0.0237  0.0231  0.2419 x2  6 O 2.22-2.36
Np  0.5000  0.5000  0.5000 x1  4 O 1.91-2.02
Hg  0.5000  0.5000  0.0000 x1  4 O 2.12-2.21
O  0.1934  0.8059  0.0000 x2  1 Hg 2.12, 2 Y 2.22
O  0.2069  0.7903  0.5004 x2  1 Np 2.02
O  0.2960  0.2922  0.6797 x2  1 Np 1.91
O  0.3294  0.3285  0.2679 x2  1 Np 2.18, 1 Hg 2.21, 1 Y 2.28

Results
DOS at the Fermi energy: 3.10 states/eV/f.u.
M_tot: 0.000 μB per atom
uncorrected energy: -94.72 eV per formula unit

***

No. 2
The following is a PBE-GGA calculation of crystalline YNpHg2O6 at its relaxed geometry, from the Alexandria database.

a b c (Å): 5.8369 5.9601 10.2904
angles (deg): 90.00 123.86 90.00
Last column: nearest neighbours and their distance in Å.
Space group P2_1/c (No. 14)
One atom of each set of equivalent atoms:
Y  0.0000  0.0000  0.0000 x2  6 O 2.29-2.30
Np  0.5000  0.0000  0.5000 x2  6 O 2.08-2.18
Hg  0.2528  0.0303  0.7525 x4  4 O 2.37-2.59
O  0.1555  0.0467  0.2581 x4  1 Np 2.18, 1 Y 2.30, 1 Hg 2.37
O  0.2553  0.6813  0.0519 x4  1 Np 2.08, 1 Y 2.29
O  0.3794  0.2029  0.0571 x4  1 Np 2.11, 1 Y 2.29

Results
DOS at the Fermi energy: 4.06 states/eV/f.u.
M_tot: 0.150 μB per atom
uncorrected energy: -69.54 eV per formula unit

***

No. 3
The following is a PBE-GGA calculation of crystalline YNpHgO6 at its relaxed geometry, from the Alexandria database.

a b c (Å): 5.1488 5.1488 10.3688
angles (deg): 90.00 90.00 90.00
Last column: nearest neighbours and their distance in Å.
Space group P4_2nm (No. 102)
One atom of each set of equivalent atoms:
Y  0.0000  0.0000  0.0000 x2  6 O 2.24-2.31
Np  0.0000  0.0000  0.6648 x2  6 O 2.01-2.05
Hg  0.0000  0.0000  0.3309 x2  6 O 2.34-2.44
O  0.1796  0.1796  0.8173 x4  1 Np 2.05
O  0.1935  0.1935  0.5227 x4  1 Np 2.04, 1 Y 2.24
O  0.2236  0.2236  0.1575 x4  1 Np 2.01

Results
M_tot: 0.000 μB per atom
uncorrected energy: -69.99 eV per formula unit

***

No. 4
The following is a PBE-GGA calculation of crystalline NpZn2HgO6 at its relaxed geometry, from the Alexandria database.

a b c (Å): 5.6980 5.8364 6.0064
angles (deg): 118.34 99.28 107.63
Last column: nearest neighbours and their distance in Å.
Space group P-1 (No. 2)
One atom of each set of equivalent atoms:
Np  0.0000  0.0000  0.0000 x1  4 O 1.95-2.08
Zn  0.3213  0.4911  0.7831 x2  4 O 1.92-2.04
Hg  0.5000  0.0000  0.5000 x1  2 O 2.03
O  0.1775  0.7622  0.8341 x2  1 Zn 1.92, 1 Np 1.95
O  0.2551  0.1643  0.4217 x2  1 Zn 1.96, 1 Hg 2.03
O  0.2817  0.3466  0.0264 x2  2 Zn 2.01-2.04, 1 Np 2.08

Results
DOS at the Fermi energy: 0.30 states/eV/f.u.
M_tot: 0.100 μB per atom
uncorrected energy: -62.54 eV per formula unit

***

No. 5
The following is a PBE-GGA calculation of crystalline NpZnHgO6 at its relaxed geometry, from the Alexandria database.

a b c (Å): 5.4231 5.4231 9.7284
angles (deg): 90.00 90.00 120.00
Last column: nearest neighbours and their distance in Å.
Space group P-31c (No. 163)
One atom of each set of equivalent atoms:
Np  0.3333  0.6667  0.2500 x2  6 O 2.02
Zn  0.3333  0.6667  0.7500 x2  6 O 2.11
Hg  0.0000  0.0000  0.0000 x2  6 O 2.34
O  0.0140  0.3607  0.1382 x12  1 Np 2.02, 1 Zn 2.11

Results
DOS at the Fermi energy: 8.28 states/eV/f.u.
M_tot: 0.000 μB per atom
uncorrected energy: -57.34 eV per formula unit

***

No. 6
The following is a PBE-GGA calculation of crystalline Np2HgOs at its relaxed geometry, from the Alexandria database.

a b c (Å): 3.1886 3.1886 8.6371
angles (deg): 90.00 90.00 90.00
Last column: nearest neighbours and their distance in Å.
Space group P4/mmm (No. 123)
One atom of each set of equivalent atoms:
Np  0.0000  0.0000  0.2109 x2  4 Os 2.90, 4 Np 3.19
Hg  0.5000  0.5000  0.5000 x1  4 Hg 3.19, 8 Np 3.36
Os  0.5000  0.5000  0.0000 x1  8 Np 2.90, 4 Os 3.19

Results
DOS at the Fermi energy: 10.03 states/eV/f.u.
M_tot: 1.953 μB per atom
formation energy: 0.12 eV/atom

***

No. 7
The following is a PBE-GGA calculation of crystalline NpHgP2 at its relaxed geometry, from the Alexandria database.

a b c (Å): 4.2085 4.2085 22.3560
angles (deg): 90.00 90.00 120.00
Last column: nearest neighbours and their distance in Å.
Space group R-3m (No. 166, hexagonal axes)
One atom of each set of equivalent atoms:
Np  0.0000  0.0000  0.0000 x3  6 P 2.76
Hg  0.0000  0.0000  0.5000 x3  2 P 2.42
P  0.0000  0.0000  0.3917 x6  1 Hg 2.42

Results
DOS at the Fermi energy: 8.59 states/eV/f.u.
M_tot: 0.750 μB per atom
formation energy: -0.15 eV/atom

***

No. 8
The following is a PBE-GGA calculation of crystalline NpPa2Hg at its relaxed geometry, from the Alexandria database.

a b c (Å): 3.5978 3.5978 24.9747
angles (deg): 90.00 90.00 120.00
Last column: nearest neighbours and their distance in Å.
Space group R-3m (No. 166, hexagonal axes)
One atom of each set of equivalent atoms:
Np  0.0000  0.0000  0.0000 x3  6 Pa 2.67
Pa  0.0000  0.0000  0.2662 x6  3 Np 2.67
Hg  0.0000  0.0000  0.5000 x3  6 Pa 3.24, 6 Hg 3.60

Results
DOS at the Fermi energy: 4.85 states/eV/f.u.
M_tot: 0.000 μB per atom
formation energy: 0.24 eV/atom
energy above the most stable polymorph in this dataset: 104.3 meV/atom

***

No. 9
The following is a PBE-GGA calculation of crystalline NpPa2Hg at its relaxed geometry, from the Alexandria database.

a b c (Å): 5.4120 5.4120 3.2095
angles (deg): 90.00 90.00 90.00
Last column: nearest neighbours and their distance in Å.
Space group P4/mmm (No. 123)
One atom of each set of equivalent atoms:
Np  0.0000  0.0000  0.0000 x1  8 Pa 3.15, 2 Np 3.21
Pa  0.0000  0.5000  0.5000 x2  4 Hg 3.15, 4 Np 3.15, 2 Pa 3.21
Hg  0.5000  0.5000  0.0000 x1  8 Pa 3.15, 2 Hg 3.21

Results
DOS at the Fermi energy: 8.99 states/eV/f.u.
M_tot: 0.708 μB per atom
formation energy: 0.14 eV/atom
energy above the most stable polymorph in this dataset: 0.0 meV/atom

***

No. 10
The following is a PBE-GGA calculation of crystalline NpPa2Hg at its relaxed geometry, from the Alexandria database.

a b c (Å): 3.5838 3.5838 7.3606
angles (deg): 90.00 90.00 90.00
Last column: nearest neighbours and their distance in Å.
Space group P4/mmm (No. 123)
One atom of each set of equivalent atoms:
Np  0.0000  0.0000  0.0000 x1  8 Pa 2.99
Pa  0.5000  0.5000  0.2149 x2  4 Np 2.99, 1 Pa 3.16, 4 Hg 3.29
Hg  0.0000  0.0000  0.5000 x1  8 Pa 3.29, 4 Hg 3.58, 2 Np 3.68

Results
DOS at the Fermi energy: 9.29 states/eV/f.u.
M_tot: 0.779 μB per atom
formation energy: 0.25 eV/atom
energy above the most stable polymorph in this dataset: 118.3 meV/atom

***

No. 11
The following is a PBE-GGA calculation of crystalline NpHg2Pb at its relaxed geometry, from the Alexandria database.

a b c (Å): 3.2875 3.2875 9.7135
angles (deg): 90.00 90.00 90.00
Last column: nearest neighbours and their distance in Å.
Space group P4/mmm (No. 123)
One atom of each set of equivalent atoms:
Np  0.0000  0.0000  0.0000 x1  8 Hg 3.27, 4 Np 3.29
Hg  0.5000  0.5000  0.2363 x2  4 Np 3.27, 4 Hg 3.29, 4 Pb 3.46
Pb  0.0000  0.0000  0.5000 x1  4 Pb 3.29, 8 Hg 3.46

Results
DOS at the Fermi energy: 7.23 states/eV/f.u.
M_tot: 1.200 μB per atom
formation energy: 0.14 eV/atom

***

No. 12
The following is a PBE-GGA calculation of crystalline NpHgPb at its relaxed geometry, from the Alexandria database.

a b c (Å): 3.3752 3.3752 14.1163
angles (deg): 90.00 90.00 90.00
Last column: nearest neighbours and their distance in Å.
Space group I4mm (No. 107)
One atom of each set of equivalent atoms:
Np  0.0000  0.0000  0.0000 x2  4 Hg 3.26, 4 Np 3.38, 4 Pb 3.43
Hg  0.0000  0.0000  0.3423 x2  4 Np 3.26, 4 Pb 3.36, 4 Hg 3.38
Pb  0.0000  0.0000  0.6746 x2  4 Hg 3.36, 4 Pb 3.38, 4 Np 3.43

Results
DOS at the Fermi energy: 7.15 states/eV/f.u.
M_tot: 1.658 μB per atom
formation energy: 0.22 eV/atom
energy above the most stable polymorph in this dataset: 0.0 meV/atom

***

No. 13
The following is a PBE-GGA calculation of crystalline NpHg2Pb at its relaxed geometry, from the Alexandria database.

a b c (Å): 7.4875 7.4875 7.4875
angles (deg): 90.00 90.00 90.00
Last column: nearest neighbours and their distance in Å.
Space group F-43m (No. 216)
One atom of each set of equivalent atoms:
Np  0.0000  0.0000  0.0000 x4  4 Hg 3.24, 4 Pb 3.24
Hg  0.0000  0.0000  0.5000 x4  4 Hg 3.24, 4 Pb 3.24
Hg  0.2500  0.2500  0.2500 x4  4 Hg 3.24, 4 Np 3.24
Pb  0.2500  0.2500  0.7500 x4  4 Hg 3.24, 4 Np 3.24

Results
DOS at the Fermi energy: 12.16 states/eV/f.u.
M_tot: 1.106 μB per atom
formation energy: 0.23 eV/atom